No. 1
Entry from the Alexandria database: crystalline SrCaCo at its relaxed geometry (PBE).

- symmetry = No. 107
- E_tot (eV/atom) = -3.244
- relative energy among the computed polymorphs (meV per atom) = 269
- formation energy from the elements (meV per atom) = 353

Cell lengths 7.255, 7.255, 3.632 Å; angles 75.51, 75.50, 29.00 degrees
Each line ends with the local moment (μB).
Fractional coordinates of all 3 atoms:
Co1 0.340 0.340 0.660  1.20
Ca1 0.955 0.955 0.045  -0.07
Sr1 0.705 0.705 0.295  -0.06

No. 2
Entry from the Alexandria database: crystalline SrCaCo at its relaxed geometry (PBE).

- symmetry = No. 156
- E_tot (eV/atom) = -3.157
- relative energy among the computed polymorphs (meV per atom) = 356
- formation energy from the elements (meV per atom) = 440

Cell lengths 4.010, 4.010, 7.133 Å; angles 90.00, 90.00, 120.00 degrees
Each line ends with the local moment (μB).
Fractional coordinates of all 3 atoms:
Sr1 0.333 0.667 0.584  -0.05
Ca1 0.000 0.000 0.092  -0.05
Co1 0.667 0.333 0.324  1.25

No. 3
Entry from the Alexandria database: crystalline Sr2CaCo at its relaxed geometry (PBE).

- symmetry = No. 139
- E_tot (eV/atom) = -2.574
- relative energy among the computed polymorphs (meV per atom) = 246
- formation energy from the elements (meV per atom) = 544

Cell lengths 6.272, 6.272, 6.272 Å; angles 130.57, 130.57, 72.50 degrees
Each line ends with the local moment (μB).
Fractional coordinates of all 4 atoms:
Sr1 0.500 0.500 0.000  -0.05
Ca1 0.250 0.750 0.500  -0.06
Co1 0.750 0.250 0.500  1.71
Sr2 0.000 0.000 0.000  -0.05

No. 4
Entry from the Alexandria database: crystalline Sr2CaCo at its relaxed geometry (PBE).

- symmetry = No. 166
- E_tot (eV/atom) = -2.745
- relative energy among the computed polymorphs (meV per atom) = 75
- formation energy from the elements (meV per atom) = 373

Cell lengths 10.944, 10.944, 10.944 Å; angles 21.41, 21.41, 21.41 degrees
Each line ends with the local moment (μB).
Fractional coordinates of all 4 atoms:
Sr1 0.026 0.026 0.026  -0.06
Co1 0.750 0.750 0.750  1.27
Sr2 0.474 0.474 0.474  -0.06
Ca1 0.250 0.250 0.250  0.00

No. 5
Entry from the Alexandria database: crystalline SrCa2Co2 at its relaxed geometry (PBE).

- symmetry = No. 127
- E_tot (eV/atom) = -3.678
- formation energy from the elements (meV per atom) = 301

Cell lengths 7.817, 7.817, 4.404 Å; angles 90.00, 90.00, 90.00 degrees
Each line ends with the local moment (μB).
Fractional coordinates of all 10 atoms:
Ca1 0.841 0.341 0.500  -0.07
Sr1 0.500 0.500 0.000  -0.05
Ca2 0.341 0.159 0.500  -0.07
Co1 0.401 0.901 0.000  1.43
Ca3 0.159 0.659 0.500  -0.07
Co2 0.901 0.599 0.000  1.41
Ca4 0.659 0.841 0.500  -0.07
Co3 0.099 0.401 0.000  1.41
Co4 0.599 0.099 0.000  1.43
Sr2 0.000 0.000 0.000  -0.05

No. 6
Entry from the Alexandria database: crystalline Sr3CaCo at its relaxed geometry (PBE).

- symmetry = No. 221
- E_tot (eV/atom) = -2.608
- formation energy from the elements (meV per atom) = 222

Cell lengths 5.882, 5.882, 5.882 Å; angles 90.00, 90.00, 90.00 degrees
Fractional coordinates of all 5 atoms:
Ca1 0.500 0.500 0.500
Sr1 0.000 0.000 0.500
Co1 0.000 0.000 0.000
Sr2 0.000 0.500 0.000
Sr3 0.500 0.000 0.000

No. 7
Entry from the Alexandria database: crystalline Sr2CaCo at its relaxed geometry (PBE).

- symmetry = No. 216
- E_tot (eV/atom) = -2.532
- relative energy among the computed polymorphs (meV per atom) = 288
- formation energy from the elements (meV per atom) = 586

Cell lengths 5.707, 5.707, 5.707 Å; angles 60.00, 60.00, 60.00 degrees
Each line ends with the local moment (μB).
Fractional coordinates of all 4 atoms:
Co1 0.250 0.250 0.250  1.40
Sr1 0.750 0.750 0.750  -0.07
Sr2 0.000 0.000 0.000  -0.06
Ca1 0.500 0.500 0.500  -0.07

No. 8
Entry from the Alexandria database: crystalline SrCa2TlCo at its relaxed geometry (PBE).

- symmetry = No. 123
- E_tot (eV/atom) = -3.002
- formation energy from the elements (meV per atom) = 30

Cell lengths 5.382, 5.382, 5.258 Å; angles 90.00, 90.00, 90.00 degrees
Each line ends with the local moment (μB).
Fractional coordinates of all 5 atoms:
Sr1 0.500 0.500 0.500  0.02
Tl1 0.000 0.000 0.500  0.00
Ca1 0.500 0.000 0.000  0.00
Co1 0.000 0.000 0.000  0.26
Ca2 0.000 0.500 0.000  0.00

No. 9
Entry from the Alexandria database: crystalline SrCaZn2Co at its relaxed geometry (PBE).

- symmetry = No. 123
- E_tot (eV/atom) = -2.642
- formation energy from the elements (meV per atom) = 25

Cell lengths 4.906, 4.906, 4.889 Å; angles 90.00, 90.00, 90.00 degrees
Fractional coordinates of all 5 atoms:
Zn1 0.500 0.000 0.000
Ca1 0.000 0.000 0.500
Zn2 0.000 0.500 0.000
Sr1 0.500 0.500 0.500
Co1 0.000 0.000 0.000

No. 10
Entry from the Alexandria database: crystalline Ca2TaCo at its relaxed geometry (PBE).

- symmetry = No. 6
- E_tot (eV/atom) = -5.560
- relative energy among the computed polymorphs (meV per atom) = 0
- formation energy from the elements (meV per atom) = 180

Cell lengths 3.319, 3.318, 9.567 Å; angles 69.85, 90.00, 90.00 degrees
Fractional coordinates of all 4 atoms:
Co1 0.000 0.426 0.572
Ca1 0.000 0.059 0.941
Ca2 0.500 0.181 0.320
Ta1 0.500 0.833 0.666

No. 11
Entry from the Alexandria database: crystalline Ca2TaCo at its relaxed geometry (PBE).

- symmetry = No. 225
- E_tot (eV/atom) = -4.625
- relative energy among the computed polymorphs (meV per atom) = 935
- formation energy from the elements (meV per atom) = 1115

Cell lengths 5.056, 5.056, 5.056 Å; angles 60.00, 60.00, 60.00 degrees
Each line ends with the local moment (μB).
Fractional coordinates of all 4 atoms:
Ca1 0.750 0.750 0.750  0.11
Co1 0.000 0.000 0.000  0.05
Ca2 0.250 0.250 0.250  0.11
Ta1 0.500 0.500 0.500  1.68

No. 12
Entry from the Alexandria database: crystalline CaTaCo at its relaxed geometry (PBE).

- symmetry = No. 216
- E_tot (eV/atom) = -6.262
- relative energy among the computed polymorphs (meV per atom) = 504
- formation energy from the elements (meV per atom) = 725

Cell lengths 4.414, 4.414, 4.414 Å; angles 60.00, 60.00, 60.00 degrees
Fractional coordinates of all 3 atoms:
Ta1 0.000 0.000 0.000
Ca1 0.500 0.500 0.500
Co1 0.750 0.750 0.750

No. 13
Entry from the Alexandria database: crystalline CaTaCo at its relaxed geometry (PBE).

- symmetry = No. 107
- E_tot (eV/atom) = -6.765
- relative energy among the computed polymorphs (meV per atom) = 0
- formation energy from the elements (meV per atom) = 221

Cell lengths 6.321, 6.321, 3.225 Å; angles 75.22, 75.22, 29.55 degrees
Fractional coordinates of all 3 atoms:
Co1 0.295 0.295 0.705
Ca1 0.990 0.990 0.010
Ta1 0.715 0.715 0.285

No. 14
Entry from the Alexandria database: crystalline Ca2TaCo2 at its relaxed geometry (PBE).

- symmetry = No. 127
- E_tot (eV/atom) = -5.760
- formation energy from the elements (meV per atom) = 253

Cell lengths 6.376, 6.376, 4.825 Å; angles 90.00, 90.00, 90.00 degrees
Fractional coordinates of all 10 atoms:
Co1 0.375 0.875 0.000
Ta1 0.500 0.500 0.000
Co2 0.125 0.375 0.000
Ca1 0.821 0.321 0.500
Ca2 0.321 0.179 0.500
Ca3 0.179 0.679 0.500
Ca4 0.679 0.821 0.500
Co3 0.625 0.125 0.000
Co4 0.875 0.625 0.000
Ta2 0.000 0.000 0.000

No. 15
Entry from the Alexandria database: crystalline Ca2TaCo at its relaxed geometry (PBE).

- symmetry = No. 44
- E_tot (eV/atom) = -5.355
- relative energy among the computed polymorphs (meV per atom) = 205
- formation energy from the elements (meV per atom) = 385

Cell lengths 6.138, 6.138, 6.138 Å; angles 148.03, 128.36, 62.04 degrees
Fractional coordinates of all 4 atoms:
Co1 0.532 0.532 0.000
Ta1 0.683 0.183 0.500
Ca1 0.994 0.994 0.000
Ca2 0.292 0.792 0.500